SrZnRu2 | PBE-GGA | optimized geometry

```
SrZnRu2
1.0
5.8264 -0.0032 -0.0016
2.9316 5.0352 0.0016
-3.6954 -3.7057 2.5610
Ru Zn Sr
2 1 1
Direct
0.2143 0.7143 0.5000
0.0079 0.0079 0.0000
0.7843 0.2843 0.5000
0.4936 0.4936 0.0000
```

Results
The value obtained for the density is 7.845 g cm⁻³. Its space-group type is Imm2. The calculation puts the magnetization at 0.0 Bohr magnetons per cell. The uncorrected energy comes out at -19.5 eV/cell.